# PmTm2SeO8 (PBE, relaxed)
data_PmTm2SeO8
_chemical_formula_sum 'Pm1 Tm2 Se1 O8'
_symmetry_space_group_name_H-M 'P 1 2/m 1'
_symmetry_Int_Tables_number 10
_symmetry_space_group_name_Hall '-P 2y'
_cell_length_a 4.9036
_cell_length_b 6.8143
_cell_length_c 4.9067
_cell_angle_alpha 90.00
_cell_angle_beta 90.45
_cell_angle_gamma 90.00
loop_
_atom_site_label
_atom_site_type_symbol
_atom_site_fract_x
_atom_site_fract_y
_atom_site_fract_z
_atom_site_occupancy
Pm1 Pm 0.0000 0.0000 0.0000 1
Tm1 Tm 0.5000 0.2597 0.5000 1
Se1 Se 0.0000 0.5000 0.0000 1
O1 O 0.1808 0.3050 0.1816 1
O2 O 0.2644 0.5000 0.7367 1
O3 O 0.3212 0.0000 0.6806 1
# **Magnetic moment**: 0.050 μB per atom
# **Raw formation energy**: -2.303 eV per atom